A relaxed structure of K2CF, computed with PBE.

Values from the calculation:
- D(E_F) (states/eV/cell) = 0.00
- magnetic moment (μB/cell) = 12.00
- total DFT energy (no corrections) (eV/atom) = -3.466
- offset from the most stable computed form (kJ/mol of formula units) = 0.0

Unit cell a=7.151 b=7.151 c=8.795 alpha=90.00 beta=90.00 gamma=90.00
Space group I-42d (No. 122)
Asymmetric unit:
1 K 0.208 0.250 0.125 (multiplicity 8)
2 C 0.000 0.000 0.500 (multiplicity 4)
3 F 0.000 0.000 0.000 (multiplicity 4)